1.
The following is a PBE-GGA calculation of a relaxed structure of NaHfAgO3, from OQMD.

abc: 8.8592 3.1778 12.1191
angles: 90.00 90.00 90.00
Sites, in units of the cell vectors:
Ag 0.4764 0.0000 0.1017
Ag 0.9764 0.5000 0.3983
Ag 0.0236 0.0000 0.6017
Ag 0.5236 0.5000 0.8983
Hf 0.8384 0.0000 0.0416
Hf 0.3384 0.5000 0.4584
Hf 0.6616 0.0000 0.5416
Hf 0.1616 0.5000 0.9584
Na 0.1330 0.0000 0.2122
Na 0.6330 0.5000 0.2878
Na 0.3670 0.0000 0.7122
Na 0.8670 0.5000 0.7878
O 0.2530 0.0000 0.0484
O 0.9789 0.5000 0.0943
O 0.6953 0.0000 0.1645
O 0.1953 0.5000 0.3355
O 0.4789 0.0000 0.4057
O 0.7530 0.5000 0.4516
O 0.2470 0.0000 0.5484
O 0.5211 0.5000 0.5943
O 0.8047 0.0000 0.6645
O 0.3047 0.5000 0.8355
O 0.0211 0.0000 0.9057
O 0.7470 0.5000 0.9516

Its space group is Pnma. For the calculated volume, the calculation gives 341 Å³/cell. For the total moment, the calculation gives 0.000 μB per atom.

2.
The following is a PBE-GGA calculation of a relaxed structure of NaHfAgSeS2, from OQMD.

abc: 7.0541 7.0541 10.2806
angles: 90.00 90.00 149.11
Sites, in units of the cell vectors:
Ag 0.9456 0.0544 0.2500
Ag 0.0544 0.9456 0.7500
Hf 0.5000 0.5000 0.0000
Hf 0.5000 0.5000 0.5000
Na 0.2530 0.7470 0.2500
Na 0.7470 0.2530 0.7500
S 0.8718 0.1282 0.0348
S 0.8718 0.1282 0.4652
S 0.1282 0.8718 0.5348
S 0.1282 0.8718 0.9652
Se 0.5833 0.4167 0.2500
Se 0.4167 0.5833 0.7500

Its space group is Cmcm. For the calculated volume, the calculation gives 263 Å³/cell. For the total moment, the calculation gives 0.000 μB per atom.

3.
The following is a PBE-GGA calculation of a relaxed structure of NaHfAgSe2S, from OQMD.

abc: 7.1317 7.1317 10.2114
angles: 90.00 90.00 148.46
Sites, in units of the cell vectors:
Ag 0.0595 0.9405 0.2500
Ag 0.9405 0.0595 0.7500
Hf 0.5000 0.5000 0.0000
Hf 0.5000 0.5000 0.5000
Na 0.7664 0.2336 0.2500
Na 0.2336 0.7664 0.7500
S 0.4379 0.5621 0.2500
S 0.5621 0.4379 0.7500
Se 0.1379 0.8621 0.0246
Se 0.1379 0.8621 0.4754
Se 0.8621 0.1379 0.5246
Se 0.8621 0.1379 0.9754

Its space group is Cmcm. For the calculated volume, the calculation gives 272 Å³/cell. For the total moment, the calculation gives 0.000 μB per atom.

4.
The following is a PBE-GGA calculation of a relaxed structure of NaHfAgTeS2, from OQMD.

abc: 7.3952 7.3952 10.6624
angles: 90.00 90.00 150.22
Sites, in units of the cell vectors:
Ag 0.0317 0.9683 0.2500
Ag 0.9683 0.0317 0.7500
Hf 0.5000 0.5000 0.0000
Hf 0.5000 0.5000 0.5000
Na 0.7108 0.2892 0.2500
Na 0.2892 0.7108 0.7500
S 0.1172 0.8828 0.0497
S 0.1172 0.8828 0.4503
S 0.8828 0.1172 0.5497
S 0.8828 0.1172 0.9503
Te 0.3920 0.6080 0.2500
Te 0.6080 0.3920 0.7500

Its space group is Cmcm. For the calculated volume, the calculation gives 290 Å³/cell. For the total moment, the calculation gives 0.000 μB per atom.

5.
The following is a PBE-GGA calculation of a relaxed structure of NaHfAgTeSe2, from OQMD.

abc: 7.3666 7.3666 10.7896
angles: 90.00 90.00 149.21
Sites, in units of the cell vectors:
Ag 0.0360 0.9640 0.2500
Ag 0.9640 0.0360 0.7500
Hf 0.5000 0.5000 0.0000
Hf 0.5000 0.5000 0.5000
Na 0.7171 0.2829 0.2500
Na 0.2829 0.7171 0.7500
Se 0.1286 0.8714 0.0444
Se 0.1286 0.8714 0.4556
Se 0.8714 0.1286 0.5444
Se 0.8714 0.1286 0.9556
Te 0.3990 0.6010 0.2500
Te 0.6010 0.3990 0.7500

Its space group is Cmcm. For the calculated volume, the calculation gives 300 Å³/cell. For the total moment, the calculation gives 0.001 μB per atom.

6.
The following is a PBE-GGA calculation of a relaxed structure of Hf2NbAg, from OQMD.

abc: 4.7845 4.7845 4.7845
angles: 60.00 60.00 60.00
Sites, in units of the cell vectors:
Ag 0.5000 0.5000 0.5000
Hf 0.0000 0.0000 0.0000
Hf 0.2500 0.2500 0.2500
Nb 0.7500 0.7500 0.7500

Its space group is F-43m. For the calculated volume, the calculation gives 77 Å³/cell. For the total moment, the calculation gives 0.001 μB per atom. The calculation puts the formation energy from the elements at 0.26 eV/atom.

Here are the calculated calculated total energy numbers, same order: -168.041; -63.862; -62.100; -61.882; -58.560; -31.808 (eV/cell).